a | First-principles (PBE+U) data for a relaxed TaVNF2 crystal, as listed in Alexandria via LeMat-Bulk.

## Properties
The value obtained for the volume is 70 Å³ per cell.

a b c (Å): 4.136 4.136 4.072
angles (deg): 90.00 90.00 90.00
Atoms (fractional coordinates):
F 0.000 0.500 0.000
F 0.500 0.000 0.000
Ta 0.000 0.000 0.000
N 0.000 0.000 0.500
V 0.500 0.500 0.500

---

b | First-principles (PBE+U) data for a relaxed TaVNF2 crystal, as listed in Alexandria via LeMat-Bulk.

## Properties
The value obtained for the volume is 65 Å³ per cell.

a b c (Å): 3.766 3.766 4.579
angles (deg): 90.00 90.00 90.00
Atoms (fractional coordinates):
V 0.000 0.000 0.000
Ta 0.500 0.500 0.500
N 0.000 0.000 0.500
F 0.500 0.000 0.000
F 0.000 0.500 0.000

---

a wins, 500 meV/atom ahead of the next structure.

---

a | First-principles (PBE+U) data for a relaxed TaWN2F crystal, as listed in Alexandria via LeMat-Bulk.

## Properties
The value obtained for the volume is 67 Å³ per cell.

a b c (Å): 4.117 4.117 3.966
angles (deg): 90.00 90.00 90.00
Atoms (fractional coordinates):
N 0.500 0.000 0.000
N 0.000 0.500 0.000
W 0.500 0.500 0.500
Ta 0.000 0.000 0.000
F 0.000 0.000 0.500

---

b | First-principles (PBE+U) data for a relaxed TaWN2F crystal, as listed in Alexandria via LeMat-Bulk.

## Properties
The value obtained for the volume is 66 Å³ per cell.

a b c (Å): 4.079 4.079 3.938
angles (deg): 90.00 90.00 90.00
Atoms (fractional coordinates):
W 0.000 0.000 0.000
N 0.000 0.500 0.000
N 0.500 0.000 0.000
Ta 0.500 0.500 0.500
F 0.000 0.000 0.500

---

a wins, 629 meV/atom ahead of the next structure.